(1)
Here is an optimized crystal structure of Nd2Ga2Sn from the Alexandria database. Energies are from PBE-GGA.

a = 4.4914 Å, b = 6.2147 Å, c = 10.1167 Å
α = 79.55°, β = 77.17°, γ = 68.82°
Closest atoms and distances in Å follow each position.
Fractional coordinates of all 10 atoms:
1 Nd 0.4862 0.3459 0.6817  6 Ga 3.18-3.35, 3 Sn 3.31-3.37
2 Nd 0.3141 0.2671 0.1047  6 Ga 3.09-3.43, 2 Sn 3.30
3 Nd 0.6859 0.7329 0.8953  6 Ga 3.09-3.43, 2 Sn 3.30
4 Nd 0.5138 0.6541 0.3183  6 Ga 3.18-3.35, 3 Sn 3.31-3.37
5 Sn 0.7984 0.0697 0.3335  4 Ga 2.84-2.95
6 Sn 0.2016 0.9303 0.6665  4 Ga 2.84-2.95
7 Ga 0.1340 0.2978 0.4343  1 Ga 2.80, 3 Sn 2.84-2.95
8 Ga 0.9600 0.1780 0.9021  1 Ga 2.66, 1 Sn 2.86
9 Ga 0.0400 0.8220 0.0979  1 Ga 2.66, 1 Sn 2.86
10 Ga 0.8660 0.7022 0.5657  1 Ga 2.80, 3 Sn 2.84-2.95

## Properties
As for the total magnetic moment: 0.0 μB per cell. Its density of states at the Fermi level is 8.47 states/eV/cell. Its offset from the most stable computed form is 62 meV/atom.

---

(2)
Here is an optimized crystal structure of Pm2AgRuO8 from the Alexandria database. Energies are from PBE-GGA.

a = 4.1835 Å, b = 5.3840 Å, c = 7.0203 Å
α = 83.57°, β = 93.11°, γ = 95.87°
Closest atoms and distances in Å follow each position.
Fractional coordinates of all 12 atoms:
1 O 0.7737 0.0519 0.2339  1 Ru 2.00, 1 Ag 2.05
2 O 0.2263 0.9481 0.7661  1 Ru 2.00, 1 Ag 2.05
3 O 0.2253 0.3495 0.4412  1 Ag 2.03
4 O 0.7713 0.2290 0.8451  1 Ru 1.86
5 O 0.6976 0.7251 0.9555  1 Ru 1.89
6 O 0.7747 0.6505 0.5588  1 Ag 2.03
7 O 0.3024 0.2749 0.0445  1 Ru 1.89
8 O 0.2287 0.7710 0.1549  1 Ru 1.86
9 Ag 0.0000 0.0000 0.5000  4 O 2.03-2.05
10 Pm 0.3129 0.5144 0.7396  6 O 2.36-2.60
11 Pm 0.6871 0.4856 0.2604  6 O 2.36-2.60
12 Ru 0.0000 0.0000 0.0000  6 O 1.86-2.00

## Properties
As for the total magnetic moment: 0.0 μB per cell. The calculation puts the raw total energy at -0.495 Ry per atom. Its density of states at the Fermi level is 4.26 states/eV/cell.

---

(3)
Here is an optimized crystal structure of Lu2TaCd from the Alexandria database. Energies are from PBE-GGA.

a = 3.2644 Å, b = 3.2644 Å, c = 8.8073 Å
α = 90.00°, β = 90.00°, γ = 90.00°
Closest atoms and distances in Å follow each position.
Fractional coordinates of all 4 atoms:
1 Lu 0.0000 0.0000 0.2599  4 Ta 3.13, 4 Cd 3.25, 4 Lu 3.26
2 Lu 0.0000 0.0000 0.7401  4 Ta 3.13, 4 Cd 3.25, 4 Lu 3.26
3 Cd 0.5000 0.5000 0.0000  8 Lu 3.25, 4 Cd 3.26
4 Ta 0.5000 0.5000 0.5000  8 Lu 3.13, 4 Ta 3.26

## Properties
As for the total magnetic moment: 0.0 μB per cell. Its density of states at the Fermi level is 3.36 states/eV/cell. Its offset from the most stable computed form is 0 meV/atom.

---

(4)
Here is an optimized crystal structure of RbSc2B from the Alexandria database. Energies are from PBE-GGA.

a = 10.7186 Å, b = 10.7186 Å, c = 10.7186 Å
α = 19.90°, β = 19.90°, γ = 19.90°
Closest atoms and distances in Å follow each position.
Fractional coordinates of all 4 atoms:
1 B 0.5000 0.5000 0.5000  6 Sc 2.43
2 Sc 0.1304 0.1304 0.1304  3 B 2.43
3 Sc 0.8696 0.8696 0.8696  3 B 2.43
4 Rb 0.0000 0.0000 0.0000  6 Rb 3.70, 2 Sc 4.11

## Properties
As for the total magnetic moment: 0.0 μB per cell. The calculation puts the raw total energy at -0.359 Ry per atom. Its density of states at the Fermi level is 5.79 states/eV/cell.

---

(5)
Here is an optimized crystal structure of SrCa2Be from the Alexandria database. Energies are from PBE-GGA.

a = 3.7134 Å, b = 3.7117 Å, c = 10.4992 Å
α = 69.32°, β = 90.00°, γ = 90.00°
Closest atoms and distances in Å follow each position.
Fractional coordinates of all 4 atoms:
1 Ca 0.0000 0.0798 0.9211  4 Be 3.12, 1 Ca 3.36
2 Ca 0.0000 0.4202 0.5789  4 Be 3.12, 1 Ca 3.36
3 Be 0.5000 0.7500 0.7500  8 Ca 3.12
4 Sr 0.5000 0.2500 0.2500  4 Sr 3.71

## Properties
As for the total magnetic moment: 0.0 μB per cell. The calculation puts the raw total energy at -0.155 Ry per atom. Its density of states at the Fermi level is 3.38 states/eV/cell.

---

(6)
Here is an optimized crystal structure of Er2BiS from the Alexandria database. Energies are from PBE-GGA.

a = 3.9970 Å, b = 3.9970 Å, c = 7.6538 Å
α = 74.86°, β = 74.86°, γ = 60.00°
Closest atoms and distances in Å follow each position.
Fractional coordinates of all 4 atoms:
1 Bi 0.4990 0.4990 0.5030  6 Er 3.14-3.16
2 S 0.6687 0.6687 0.9939  6 Er 2.73-2.79
3 Er 0.2641 0.2641 0.2077  3 S 2.79
4 Er 0.0682 0.0682 0.7953  3 S 2.73

## Properties
As for the total magnetic moment: 0.0 μB per cell. Its density of states at the Fermi level is 2.44 states/eV/cell. Its offset from the most stable computed form is 34 meV/atom.